Li4Nd9Cd11: optimized geometry, PBE-GGA.

Cell lengths 13.7976, 13.7976, 3.4299 Å; angles 90.00, 90.00, 108.93 degrees
With the nearest neighbours (Å) after each atom.
Fractional positions:
Li (0.0378, 0.2441, 0.0000)  6 Cd 2.91-3.00, 1 Nd 3.24
Li (0.2441, 0.0378, 0.0000)  6 Cd 2.91-3.00, 1 Nd 3.24
Li (0.7559, 0.9622, 0.0000)  6 Cd 2.91-3.00, 1 Nd 3.24
Li (0.9622, 0.7559, 0.0000)  6 Cd 2.91-3.00, 1 Nd 3.24
Nd (0.0000, 0.0000, 0.0000)  4 Li 3.24, 2 Nd 3.43, 8 Cd 3.54-3.62
Nd (0.1451, 0.6380, 0.0000)  8 Cd 3.29-3.50, 1 Li 3.42, 3 Nd 3.43-3.48
Nd (0.2766, 0.4250, 0.0000)  8 Cd 3.32-3.48, 3 Nd 3.33-3.43, 1 Li 3.43
Nd (0.3620, 0.8549, 0.0000)  8 Cd 3.29-3.50, 1 Li 3.42, 3 Nd 3.43-3.48
Nd (0.4250, 0.2766, 0.0000)  8 Cd 3.32-3.48, 3 Nd 3.33-3.43, 1 Li 3.43
Nd (0.5750, 0.7234, 0.0000)  8 Cd 3.32-3.48, 3 Nd 3.33-3.43, 1 Li 3.43
Nd (0.6380, 0.1451, 0.0000)  8 Cd 3.29-3.50, 1 Li 3.42, 3 Nd 3.43-3.48
Nd (0.7234, 0.5750, 0.0000)  8 Cd 3.32-3.48, 3 Nd 3.33-3.43, 1 Li 3.43
Nd (0.8549, 0.3620, 0.0000)  8 Cd 3.29-3.50, 1 Li 3.42, 3 Nd 3.43-3.48
Cd (0.0700, 0.4224, 0.5000)  2 Li 2.91
Cd (0.1418, 0.8582, 0.5000)  4 Li 2.97
Cd (0.1928, 0.1928, 0.5000)  4 Li 3.00
Cd (0.3564, 0.6436, 0.5000)  3 Cd 3.23-3.43, 8 Nd 3.33-3.36
Cd (0.4224, 0.0700, 0.5000)  2 Li 2.91
Cd (0.5000, 0.5000, 0.5000)  4 Cd 3.23-3.43, 8 Nd 3.38
Cd (0.5776, 0.9300, 0.5000)  2 Li 2.91
Cd (0.6436, 0.3564, 0.5000)  3 Cd 3.23-3.43, 8 Nd 3.33-3.36
Cd (0.8072, 0.8072, 0.5000)  4 Li 3.00
Cd (0.8582, 0.1418, 0.5000)  4 Li 2.97
Cd (0.9300, 0.5776, 0.5000)  2 Li 2.91

Values from the calculation:
* total DFT energy (no corrections): -2.76 eV per atom
* N(E_F): 0.869 states/eV per atom
* space-group type: No. 65

=====

LiNd6Cd2: optimized geometry, PBE-GGA.

Cell lengths 6.5465, 9.6582, 9.9154 Å; angles 90.00, 116.72, 90.00 degrees
With the nearest neighbours (Å) after each atom.
Fractional positions:
Li (0.0000, 0.0000, 0.0000)  2 Cd 2.79, 2 Nd 2.99
Li (0.0000, 0.5000, 0.5000)  2 Cd 2.79, 2 Nd 2.99
Nd (0.0813, 0.1620, 0.4743)  2 Cd 3.07-3.11, 1 Li 3.34, 1 Nd 3.42
Nd (0.0813, 0.3380, 0.9743)  2 Cd 3.07-3.11, 1 Li 3.34, 1 Nd 3.42
Nd (0.3481, 0.6998, 0.4390)  2 Cd 3.18-3.30, 1 Li 3.24, 2 Nd 3.48-3.55
Nd (0.3481, 0.8002, 0.9390)  2 Cd 3.18-3.30, 1 Li 3.24, 2 Nd 3.48-3.55
Nd (0.4185, 0.0376, 0.2944)  1 Li 2.99
Nd (0.4185, 0.4624, 0.7944)  1 Li 2.99
Nd (0.5815, 0.5376, 0.2056)  1 Li 2.99
Nd (0.5815, 0.9624, 0.7056)  1 Li 2.99
Nd (0.6519, 0.1998, 0.0610)  2 Cd 3.18-3.30, 1 Li 3.24, 2 Nd 3.48-3.55
Nd (0.6519, 0.3002, 0.5610)  2 Cd 3.18-3.30, 1 Li 3.24, 2 Nd 3.48-3.55
Nd (0.9187, 0.6620, 0.0257)  2 Cd 3.07-3.11, 1 Li 3.34, 1 Nd 3.42
Nd (0.9187, 0.8380, 0.5257)  2 Cd 3.07-3.11, 1 Li 3.34, 1 Nd 3.42
Cd (0.1526, 0.0945, 0.7950)  1 Li 2.79, 2 Nd 3.07-3.11
Cd (0.1526, 0.4055, 0.2950)  1 Li 2.79, 2 Nd 3.07-3.11
Cd (0.8474, 0.5945, 0.7050)  1 Li 2.79, 2 Nd 3.07-3.11
Cd (0.8474, 0.9055, 0.2050)  1 Li 2.79, 2 Nd 3.07-3.11

Values from the calculation:
* total DFT energy (no corrections): -3.63 eV per atom
* N(E_F): 1.152 states/eV per atom
* space-group type: No. 14

=====

Li2NdCd5: optimized geometry, PBE-GGA.

Cell lengths 4.2443, 7.8272, 10.7163 Å; angles 90.00, 90.00, 90.00 degrees
With the nearest neighbours (Å) after each atom.
Fractional positions:
Li (0.0000, 0.0000, 0.2472)  7 Cd 2.61-2.86
Li (0.0000, 0.0000, 0.7528)  7 Cd 2.61-2.86
Li (0.5000, 0.5000, 0.2528)  7 Cd 2.61-2.86
Li (0.5000, 0.5000, 0.7472)  7 Cd 2.61-2.86
Nd (0.0000, 0.5000, 0.0000)  4 Li 3.44, 8 Cd 3.52
Nd (0.5000, 0.0000, 0.5000)  4 Li 3.44, 8 Cd 3.52
Cd (0.0000, 0.0000, 0.0000)  2 Li 2.65
Cd (0.0000, 0.2984, 0.3554)  3 Li 2.61-2.86
Cd (0.0000, 0.2984, 0.6446)  3 Li 2.61-2.86
Cd (0.0000, 0.7016, 0.3554)  3 Li 2.61-2.86
Cd (0.0000, 0.7016, 0.6446)  3 Li 2.61-2.86
Cd (0.5000, 0.2016, 0.1446)  3 Li 2.61-2.86
Cd (0.5000, 0.2016, 0.8554)  3 Li 2.61-2.86
Cd (0.5000, 0.5000, 0.5000)  2 Li 2.65
Cd (0.5000, 0.7984, 0.1446)  3 Li 2.61-2.86
Cd (0.5000, 0.7984, 0.8554)  3 Li 2.61-2.86

Values from the calculation:
* total DFT energy (no corrections): -1.83 eV per atom
* N(E_F): 0.443 states/eV per atom
* space-group type: No. 71

=====

Li4NdCd: optimized geometry, PBE-GGA.

Cell lengths 5.5968, 5.5968, 5.5968 Å; angles 60.00, 60.00, 60.00 degrees
With the nearest neighbours (Å) after each atom.
Fractional positions:
Li (0.1230, 0.1230, 0.1230)  6 Li 2.75-2.84
Li (0.1230, 0.1230, 0.6311)  6 Li 2.75-2.84
Li (0.1230, 0.6311, 0.1230)  6 Li 2.75-2.84
Li (0.6311, 0.1230, 0.1230)  6 Li 2.75-2.84
Nd (0.5000, 0.5000, 0.5000)  12 Li 3.29, 4 Cd 3.43
Cd (0.7500, 0.7500, 0.7500)  12 Li 3.28, 4 Nd 3.43

Values from the calculation:
* total DFT energy (no corrections): -2.30 eV per atom
* N(E_F): 0.644 states/eV per atom
* space-group type: No. 216

=====

LiNd2Cd3: optimized geometry, PBE-GGA.

Cell lengths 3.3969, 5.0847, 8.8348 Å; angles 90.00, 90.00, 90.00 degrees
With the nearest neighbours (Å) after each atom.
Fractional positions:
Li (0.0000, 0.0000, 0.0000)  3 Cd 2.88-2.89
Nd (0.5000, 0.0000, 0.6646)  10 Cd 3.37-3.45, 2 Nd 3.40, 2 Li 3.42
Nd (0.5000, 0.5000, 0.1718)  8 Cd 3.35-3.39, 2 Nd 3.40, 4 Li 3.41
Cd (0.0000, 0.0000, 0.3256)  1 Li 2.88, 2 Cd 2.99
Cd (0.0000, 0.5000, 0.5044)  3 Cd 2.99-3.00
Cd (0.0000, 0.5000, 0.8444)  2 Li 2.89, 1 Cd 3.00

Values from the calculation:
* E above lowest polymorph: 0.13 kcal/mol of atoms
* N(E_F): 0.719 states/eV per atom
* space-group type: No. 25

=====

Li3NdCd2: optimized geometry, PBE-GGA.

Cell lengths 7.5127, 7.5127, 9.9009 Å; angles 123.67, 123.67, 35.64 degrees
With the nearest neighbours (Å) after each atom.
Fractional positions:
Li (0.0572, 0.0572, 0.3795)  3 Li 2.72-2.81, 4 Cd 2.73-3.00
Li (0.2728, 0.2728, 0.4323)  6 Li 2.81-3.10, 3 Cd 2.93-2.99
Li (0.4386, 0.4386, 0.3274)  3 Li 2.72-2.79, 3 Cd 2.77-2.87
Li (0.5614, 0.5614, 0.6726)  3 Li 2.72-2.79, 3 Cd 2.77-2.87
Li (0.7272, 0.7272, 0.5677)  6 Li 2.81-3.10, 3 Cd 2.93-2.99
Li (0.9428, 0.9428, 0.6205)  3 Li 2.72-2.81, 4 Cd 2.73-3.00
Nd (0.1417, 0.1417, 0.0182)  3 Li 3.25-3.50, 7 Cd 3.27-3.45
Nd (0.8583, 0.8583, 0.9818)  3 Li 3.25-3.50, 7 Cd 3.27-3.45
Cd (0.1844, 0.1844, 0.7185)  6 Li 2.73-3.00, 1 Cd 3.03
Cd (0.4230, 0.4230, 0.7957)  4 Li 2.87-2.99, 1 Cd 3.03
Cd (0.5770, 0.5770, 0.2043)  4 Li 2.87-2.99, 1 Cd 3.03
Cd (0.8156, 0.8156, 0.2815)  6 Li 2.73-3.00, 1 Cd 3.03

Values from the calculation:
* total DFT energy (no corrections): -2.24 eV per atom
* N(E_F): 0.630 states/eV per atom
* space-group type: No. 12

=====

LiNdCd: optimized geometry, PBE-GGA.

Cell lengths 3.8285, 3.8285, 10.3192 Å; angles 90.00, 90.00, 90.00 degrees
With the nearest neighbours (Å) after each atom.
Fractional positions:
Li (0.0000, 0.0000, 0.0000)  4 Cd 3.01, 5 Nd 3.19-3.35
Li (0.5000, 0.5000, 0.5000)  4 Cd 3.01, 5 Nd 3.19-3.35
Nd (0.0000, 0.0000, 0.6908)  5 Li 3.19-3.35, 5 Cd 3.29
Nd (0.5000, 0.5000, 0.1908)  5 Li 3.19-3.35, 5 Cd 3.29
Cd (0.0000, 0.0000, 0.3719)  4 Li 3.01, 5 Nd 3.29
Cd (0.5000, 0.5000, 0.8719)  4 Li 3.01, 5 Nd 3.29

Values from the calculation:
* E above lowest polymorph: 1.39 kcal/mol of atoms
* N(E_F): 0.499 states/eV per atom
* space-group type: No. 107

=====

LiNd8Cd2: optimized geometry, PBE-GGA.

Cell lengths 9.6152, 9.6152, 7.2003 Å; angles 104.40, 104.40, 32.75 degrees
With the nearest neighbours (Å) after each atom.
Fractional positions:
Li (0.0000, 0.0000, 0.0000)  8 Nd 3.06-3.31
Nd (0.0930, 0.0930, 0.4605)  1 Li 3.31, 6 Nd 3.49-3.69, 2 Cd 3.49
Nd (0.1608, 0.1608, 0.9599)  1 Li 3.06, 3 Cd 3.12-3.34
Nd (0.3067, 0.3067, 0.7154)  3 Cd 3.13-3.47
Nd (0.4776, 0.4776, 0.2381)  1 Cd 3.18, 2 Li 3.29
Nd (0.5224, 0.5224, 0.7619)  1 Cd 3.18, 2 Li 3.29
Nd (0.6933, 0.6933, 0.2846)  3 Cd 3.13-3.47
Nd (0.8392, 0.8392, 0.0401)  1 Li 3.06, 3 Cd 3.12-3.34
Nd (0.9070, 0.9070, 0.5395)  1 Li 3.31, 6 Nd 3.49-3.69, 2 Cd 3.49
Cd (0.3109, 0.3109, 0.2830)  9 Nd 3.12-3.49
Cd (0.6891, 0.6891, 0.7170)  9 Nd 3.12-3.49

Values from the calculation:
* total DFT energy (no corrections): -3.86 eV per atom
* N(E_F): 1.042 states/eV per atom
* space-group type: No. 12

=====

Q: Which of these has the lowest N(E_F)?
A: Li2NdCd5

=====

Q: Which formula does entry 4 have?
A: Li4NdCd

=====

Q: Look up the N(E_F) of the fifth one.
A: 0.719 states/eV per atom

=====

Q: Which formula does entry 6 have?
A: Li3NdCd2